This record from the Alexandria database describes a geometry-optimized BaIn2 structure. The functional is GGA-PBEsol.

Output
- Space group: Imma, No. 74
- Energy relative to the elements: -0.53 eV per atom
- Size of the total moment: 0.00 μB/atom

Structure (POSCAR):
```
BaIn2
1.0
-2.603 4.239 4.231
2.603 -4.239 4.231
2.603 4.239 -4.231
Ba In
2 4
direct
0.300 0.050 0.250
0.700 0.950 0.750
0.093 0.661 0.432
0.271 0.339 0.932
0.729 0.661 0.068
0.907 0.339 0.568
```